A plane-wave DFT calculation with PBE-GGA was carried out for Tc2SnGe2 after structural relaxation.

Cell lengths 7.2408, 7.2408, 3.1788 Å; angles 90.00, 90.00, 90.00 degrees
Closest atoms and distances in Å follow each position.
Positions (direct):
Ge1 0.3583 0.1417 0.5000  6 Tc 2.65, 1 Ge 2.90
Ge2 0.6417 0.8583 0.5000  6 Tc 2.65, 1 Ge 2.90
Ge3 0.8583 0.3583 0.5000  6 Tc 2.65, 1 Ge 2.90
Ge4 0.1417 0.6417 0.5000  6 Tc 2.65, 1 Ge 2.90
Sn1 0.0000 0.0000 0.0000  4 Tc 2.75
Sn2 0.5000 0.5000 0.0000  4 Tc 2.75
Tc1 0.6513 0.1513 0.0000  6 Ge 2.65, 2 Sn 2.75
Tc2 0.1513 0.3487 0.0000  6 Ge 2.65, 2 Sn 2.75
Tc3 0.8487 0.6513 0.0000  6 Ge 2.65, 2 Sn 2.75
Tc4 0.3487 0.8487 0.0000  6 Ge 2.65, 2 Sn 2.75

Results
Energy of formation from the pure elements in eV per atom: 0.05
Space group: P4/mbm, No. 127
Volume in Å³ per cell: 166.66
ΔE to the lowest computed polymorph in meV per atom: 31



A plane-wave DFT calculation with PBE-GGA was carried out for CdW3 after structural relaxation.

Cell lengths 4.5800, 4.5800, 4.5800 Å; angles 60.00, 60.00, 60.00 degrees
Closest atoms and distances in Å follow each position.
Positions (direct):
W1 0.5000 0.5000 0.5000  8 W 2.80
W2 0.7500 0.7500 0.7500  4 Cd 2.80, 4 W 2.80
W3 0.2500 0.2500 0.2500  4 Cd 2.80, 4 W 2.80
Cd1 0.0000 0.0000 0.0000  8 W 2.80

Results
Energy of formation from the pure elements in eV per atom: 0.70
Space group: Fm-3m, No. 225
Volume in Å³ per cell: 67.93
ΔE to the lowest computed polymorph in meV per atom: 381



A plane-wave DFT calculation with PBE-GGA was carried out for Ni3Bi2S2 after structural relaxation.

Cell lengths 6.9652, 6.9652, 6.9652 Å; angles 109.47, 109.47, 109.47 degrees
Closest atoms and distances in Å follow each position.
Positions (direct):
Bi1 0.0053 0.0053 0.0053  6 Ni 2.75-2.91
Bi2 0.4947 0.5000 0.0000  6 Ni 2.75-2.91
Bi3 0.0000 0.4947 0.5000  6 Ni 2.75-2.91
Bi4 0.5000 0.0000 0.4947  6 Ni 2.75-2.91
Ni1 0.5176 0.2676 0.2500  2 S 2.17
Ni2 0.7500 0.9824 0.2324  2 S 2.17
Ni3 0.9824 0.2324 0.7500  2 S 2.17
Ni4 0.2500 0.5176 0.2676  2 S 2.17
Ni5 0.2324 0.7500 0.9824  2 S 2.17
Ni6 0.2676 0.2500 0.5176  2 S 2.17
S1 0.9608 0.5000 0.0000  3 Ni 2.17
S2 0.5000 0.0000 0.9608  3 Ni 2.17
S3 0.0000 0.9608 0.5000  3 Ni 2.17
S4 0.5392 0.5392 0.5392  3 Ni 2.17

Results
Uncorrected formation energy in meV/atom: -300.4
Space group: I2_13, No. 199
Volume in Å³ per cell: 260.13
ΔE to the lowest computed polymorph in meV per atom: 0